A plane-wave DFT calculation with PBE was carried out for a geometry-optimized Cs2TbGdS4 structure.

extended XYZ file:
```
8
Lattice="4.124 0.000 0.000 -2.062 3.572 0.000 0.000 0.000 16.081" Properties=species:S:1:pos:R:3 pbc="T T T"
Cs 0.000 2.381 4.021
Cs 2.062 1.191 12.060
Tb 0.000 0.000 8.041
Gd 0.000 0.000 0.000
S 0.000 2.381 9.509
S 0.000 2.381 14.603
S 2.062 1.191 1.479
S 2.062 1.191 6.573
```

---

A plane-wave DFT calculation with PBE was carried out for a geometry-optimized Y2Ho3Lu3Te structure.

extended XYZ file:
```
9
Lattice="9.148 0.000 0.000 -4.574 7.923 0.000 0.000 0.000 3.744" Properties=species:S:1:pos:R:3 pbc="T T T"
Y 0.000 5.282 0.000
Y 4.574 2.641 0.000
Ho -1.258 2.179 0.000
Ho 2.516 0.000 0.000
Ho 3.316 5.744 0.000
Lu -2.823 4.890 1.872
Lu 1.751 3.033 1.872
Lu 5.646 0.000 1.872
Te 0.000 0.000 1.872
```

---

A plane-wave DFT calculation with PBE was carried out for a geometry-optimized Be2CoPt structure.

extended XYZ file:
```
4
Lattice="2.730 0.000 0.000 0.000 2.730 0.000 0.000 0.000 5.401" Properties=species:S:1:pos:R:3 pbc="T T T"
Be 0.000 0.000 1.183
Be 0.000 0.000 4.218
Co 1.365 1.365 0.000
Pt 1.365 1.365 2.700
```

---

no.,total DFT energy (no corrections) (eV per atom)
1,-5.273
2,-5.094
3,-5.711